[1]
First-principles (PBE-GGA) data for Rb5PdPb6 after structural relaxation, as listed in the Alexandria database.

Properties
DOS at the Fermi energy: 8.579 states/eV/cell
DFT formation energy: -0.138 eV per atom

a b c (Å): 7.767 9.076 9.203
angles (deg): 80.01 65.11 65.71
Fractional positions:
1 Rb 0.000 0.000 0.000
2 Rb 0.289 0.000 0.422
3 Rb 0.358 0.500 0.285
4 Rb 0.642 0.500 0.715
5 Rb 0.711 0.000 0.578
6 Pd 0.000 0.500 0.000
7 Pb 0.089 0.682 0.721
8 Pb 0.188 0.318 0.721
9 Pb 0.359 0.230 0.000
10 Pb 0.641 0.770 0.000
11 Pb 0.812 0.682 0.279
12 Pb 0.911 0.318 0.279

=====

[2]
First-principles (PBE-GGA) data for CuHPdRh after structural relaxation, as listed in the Alexandria database.

Properties
energy: -4.981 eV per atom
DOS at the Fermi energy: 18.843 states/eV/cell

a b c (Å): 2.793 2.793 19.999
angles (deg): 90.00 90.00 120.00
Fractional positions:
1 Cu 0.000 0.000 0.000
2 Cu 0.333 0.667 0.667
3 Cu 0.667 0.333 0.333
4 H 0.000 0.000 0.599
5 H 0.333 0.667 0.266
6 H 0.667 0.333 0.933
7 Pd 0.000 0.000 0.772
8 Pd 0.333 0.667 0.439
9 Pd 0.667 0.333 0.105
10 Rh 0.000 0.000 0.222
11 Rh 0.333 0.667 0.889
12 Rh 0.667 0.333 0.555